Computed, not measured: an optimized crystal structure of LiTb2Cu3Ge4 at the PBE-GGA level of DFT.

Lattice parameters (Å, degrees): 4.110 4.110 10.294 90.00 90.00 90.00
Sites, in units of the cell vectors:
Tb 0.500 0.000 0.253
Ge 0.000 0.500 0.365
Tb 0.000 0.500 0.747
Li 0.500 0.500 0.500
Cu 0.000 0.000 0.500
Ge 0.500 0.500 0.000
Ge 0.000 0.000 0.000
Ge 0.500 0.000 0.635
Cu 0.000 0.500 0.135
Cu 0.500 0.000 0.865

Magnetic moment ... 0.00 μB per atom
Formation energy from the elements ... -0.494 eV per atom
Density of states at the Fermi level ... 0.241 states/eV per atom


Computed, not measured: an optimized crystal structure of LiThCuGe2 at the PBE-GGA level of DFT.

Lattice parameters (Å, degrees): 4.176 4.176 5.996 110.38 110.38 90.00
Sites, in units of the cell vectors:
Ge 0.380 0.380 0.760
Th 0.000 0.000 0.000
Ge 0.620 0.620 0.240
Cu 0.750 0.250 0.500
Li 0.250 0.750 0.500

Magnetic moment ... 0.00 μB per atom
Formation energy from the elements ... -0.538 eV per atom
Density of states at the Fermi level ... 0.449 states/eV per atom


Computed, not measured: an optimized crystal structure of LiThCuGe at the PBE-GGA level of DFT.

Lattice parameters (Å, degrees): 4.869 4.869 4.869 60.00 60.00 60.00
Sites, in units of the cell vectors:
Ge 0.250 0.250 0.250
Cu 0.750 0.750 0.750
Th 0.000 0.000 0.000
Li 0.500 0.500 0.500

Magnetic moment ... 0.00 μB per atom
Formation energy from the elements ... -0.298 eV per atom
Density of states at the Fermi level ... 0.640 states/eV per atom


Computed, not measured: an optimized crystal structure of LiTh2Cu3Ge4 at the PBE-GGA level of DFT.

Lattice parameters (Å, degrees): 4.236 4.236 10.068 90.00 90.00 90.00
Sites, in units of the cell vectors:
Li 0.500 0.500 0.500
Ge 0.500 0.000 0.635
Ge 0.000 0.500 0.365
Cu 0.000 0.500 0.127
Th 0.000 0.500 0.749
Ge 0.500 0.500 0.000
Th 0.500 0.000 0.251
Ge 0.000 0.000 0.000
Cu 0.000 0.000 0.500
Cu 0.500 0.000 0.873

Magnetic moment ... 0.00 μB per atom
Formation energy from the elements ... -0.507 eV per atom
Density of states at the Fermi level ... 0.280 states/eV per atom


Computed, not measured: an optimized crystal structure of LiThCu2Ge2 at the PBE-GGA level of DFT.

Lattice parameters (Å, degrees): 4.207 4.207 6.825 90.00 90.00 120.00
Sites, in units of the cell vectors:
Ge 0.333 0.667 0.279
Li 0.000 0.000 0.500
Th 0.000 0.000 0.000
Ge 0.667 0.333 0.721
Cu 0.333 0.667 0.670
Cu 0.667 0.333 0.330

Magnetic moment ... 0.00 μB per atom
Formation energy from the elements ... -0.485 eV per atom
Density of states at the Fermi level ... 0.333 states/eV per atom


Computed, not measured: an optimized crystal structure of LiTiCuGe at the PBE-GGA level of DFT.

Lattice parameters (Å, degrees): 4.329 4.329 4.329 60.00 60.00 60.00
Sites, in units of the cell vectors:
Li 0.250 0.250 0.250
Ge 0.500 0.500 0.500
Ti 0.750 0.750 0.750
Cu 0.000 0.000 0.000

Magnetic moment ... 0.00 μB per atom
Formation energy from the elements ... -0.265 eV per atom
Density of states at the Fermi level ... 0.414 states/eV per atom


Computed, not measured: an optimized crystal structure of LiTlCuGe at the PBE-GGA level of DFT.

Lattice parameters (Å, degrees): 4.652 4.652 4.652 60.00 60.00 60.00
Sites, in units of the cell vectors:
Ge 0.250 0.250 0.250
Li 0.000 0.000 0.000
Cu 0.500 0.500 0.500
Tl 0.750 0.750 0.750

Magnetic moment ... 0.00 μB per atom
Formation energy from the elements ... 0.049 eV per atom
Density of states at the Fermi level ... 0.463 states/eV per atom


Computed, not measured: an optimized crystal structure of LiTm2Cu3Ge4 at the PBE-GGA level of DFT.

Lattice parameters (Å, degrees): 4.061 4.061 10.339 90.00 90.00 90.00
Sites, in units of the cell vectors:
Li 0.500 0.500 0.500
Ge 0.000 0.000 0.000
Ge 0.500 0.500 0.000
Ge 0.000 0.500 0.364
Cu 0.500 0.000 0.863
Tm 0.000 0.500 0.744
Cu 0.000 0.000 0.500
Tm 0.500 0.000 0.256
Cu 0.000 0.500 0.137
Ge 0.500 0.000 0.636

Magnetic moment ... 0.00 μB per atom
Formation energy from the elements ... -0.448 eV per atom
Density of states at the Fermi level ... 0.291 states/eV per atom


Computed, not measured: an optimized crystal structure of LiVCuGe at the PBE-GGA level of DFT.

Lattice parameters (Å, degrees): 4.262 4.262 4.262 60.00 60.00 60.00
Sites, in units of the cell vectors:
V 0.250 0.250 0.250
Ge 0.500 0.500 0.500
Li 0.750 0.750 0.750
Cu 0.000 0.000 0.000

Magnetic moment ... 0.43 μB per atom
Formation energy from the elements ... -0.054 eV per atom
Density of states at the Fermi level ... 1.473 states/eV per atom


Computed, not measured: an optimized crystal structure of Li2CuGeW at the PBE-GGA level of DFT.

Lattice parameters (Å, degrees): 4.907 4.667 4.907 90.00 90.00 90.00
Sites, in units of the cell vectors:
Cu 0.000 0.500 0.000
W 0.000 0.000 0.000
Li 0.000 0.000 0.500
Li 0.500 0.000 0.000
Ge 0.500 0.500 0.500

Magnetic moment ... 0.56 μB per atom
Formation energy from the elements ... 1.559 eV per atom
Density of states at the Fermi level ... 0.844 states/eV per atom


Computed, not measured: an optimized crystal structure of LiY2Cu3Ge4 at the PBE-GGA level of DFT.

Lattice parameters (Å, degrees): 4.102 4.102 10.329 90.00 90.00 90.00
Sites, in units of the cell vectors:
Cu 0.500 0.000 0.865
Y 0.000 0.500 0.746
Ge 0.000 0.500 0.365
Y 0.500 0.000 0.254
Ge 0.000 0.000 0.000
Ge 0.500 0.500 0.000
Cu 0.000 0.000 0.500
Li 0.500 0.500 0.500
Ge 0.500 0.000 0.635
Cu 0.000 0.500 0.135

Magnetic moment ... 0.00 μB per atom
Formation energy from the elements ... -0.491 eV per atom
Density of states at the Fermi level ... 0.247 states/eV per atom


Computed, not measured: an optimized crystal structure of Li2ZnCu5Ge2 at the PBE-GGA level of DFT.

Lattice parameters (Å, degrees): 3.846 8.577 8.577 90.00 90.00 90.00
Sites, in units of the cell vectors:
Cu 0.500 0.802 0.933
Cu 0.500 0.933 0.198
Cu 0.500 0.433 0.302
Li 0.000 0.331 0.831
Li 0.000 0.669 0.169
Cu 0.500 0.302 0.567
Ge 0.000 0.870 0.370
Ge 0.000 0.630 0.870
Cu 0.500 0.000 0.500
Cu 0.500 0.500 0.000
Ge 0.000 0.130 0.630
Cu 0.500 0.198 0.067
Ge 0.000 0.370 0.130
Li 0.000 0.831 0.669
Li 0.000 0.169 0.331
Cu 0.500 0.698 0.433
Zn 0.000 0.000 0.000
Cu 0.500 0.067 0.802
Zn 0.000 0.500 0.500
Cu 0.500 0.567 0.698

Magnetic moment ... 0.00 μB per atom
Formation energy from the elements ... -0.055 eV per atom
Density of states at the Fermi level ... 0.320 states/eV per atom